This record from Alexandria via LeMat-Bulk describes crystalline CaPr4Sm at its relaxed geometry. The functional is GGA-PBE.

crystal system = monoclinic
E_tot = -4.14 eV/atom
formation enthalpy at 0 K = 98 kJ/mol of formula units
calculated density = 5.7 Mg/m³
offset from the most stable computed form = 0.136 eV/atom

```
data_CaPr4Sm
_chemical_formula_sum 'Ca2 Pr8 Sm2'
_cell_length_a 18.594
_cell_length_b 6.723
_cell_length_c 3.612
_cell_angle_alpha 90.00
_cell_angle_beta 101.11
_cell_angle_gamma 90.00
_symmetry_space_group_name_H-M 'C 1 m 1'
_symmetry_Int_Tables_number 8
loop_
_symmetry_equiv_pos_as_xyz
'x,y,z'
'x,-y,z'
'x+1/2,y+1/2,z'
'x+1/2,-y+1/2,z'
loop_
_atom_site_label
_atom_site_type_symbol
_atom_site_fract_x
_atom_site_fract_y
_atom_site_fract_z
_atom_site_occupancy
Ca1 Ca 0.000 0.000 0.000 1
Pr1 Pr 0.164 0.260 0.665 1
Pr2 Pr 0.329 0.000 0.829 1
Pr3 Pr 0.490 0.000 0.488 1
Sm1 Sm 0.318 0.500 0.318 1
```


This record from Alexandria via LeMat-Bulk describes crystalline Dy4Tl2Hg at its relaxed geometry. The functional is GGA-PBE.

crystal system = monoclinic
E_tot = -3.54 eV/atom
formation enthalpy at 0 K = -127 kJ/mol of formula units
calculated density = 10.1 Mg/m³
offset from the most stable computed form = 0.066 eV/atom

```
data_Dy4Tl2Hg
_chemical_formula_sum 'Dy8 Tl4 Hg2'
_cell_length_a 7.160
_cell_length_b 6.765
_cell_length_c 9.181
_cell_angle_alpha 90.00
_cell_angle_beta 111.53
_cell_angle_gamma 90.00
_symmetry_space_group_name_H-M 'P 1 21/m 1'
_symmetry_Int_Tables_number 11
loop_
_symmetry_equiv_pos_as_xyz
'x,y,z'
'-x,-y,-z'
'-x,y+1/2,-z'
'x,-y+1/2,z'
loop_
_atom_site_label
_atom_site_type_symbol
_atom_site_fract_x
_atom_site_fract_y
_atom_site_fract_z
_atom_site_occupancy
Dy1 Dy 0.089 0.250 0.056 1
Dy2 Dy 0.174 0.008 0.731 1
Dy3 Dy 0.315 0.750 0.340 1
Tl1 Tl 0.203 0.250 0.443 1
Tl2 Tl 0.424 0.750 0.041 1
Hg1 Hg 0.491 0.750 0.698 1
```


This record from Alexandria via LeMat-Bulk describes crystalline YTePd at its relaxed geometry. The functional is GGA-PBE.

crystal system = trigonal
E_tot = -5.93 eV/atom
calculated density = 7.7 Mg/m³
ΔE_f (raw) = -0.9998 eV/atom

```
data_YTePd
_chemical_formula_sum 'Y1 Te1 Pd1'
_cell_length_a 4.5334
_cell_length_b 4.5334
_cell_length_c 3.9304
_cell_angle_alpha 90.00
_cell_angle_beta 90.00
_cell_angle_gamma 120.00
_symmetry_space_group_name_H-M 'P 3 m 1'
_symmetry_Int_Tables_number 156
loop_
_symmetry_equiv_pos_as_xyz
'x,y,z'
'-y,x-y,z'
'-x+y,-x,z'
'-y,-x,z'
'-x+y,y,z'
'x,x-y,z'
loop_
_atom_site_label
_atom_site_type_symbol
_atom_site_fract_x
_atom_site_fract_y
_atom_site_fract_z
_atom_site_occupancy
Y1 Y 0.0000 0.0000 0.0000 1
Te1 Te 0.6667 0.3333 0.4995 1
Pd1 Pd 0.3333 0.6667 0.5020 1
```


This record from Alexandria via LeMat-Bulk describes crystalline LiCd5Hg8 at its relaxed geometry. The functional is GGA-PBE.

crystal system = tetragonal
E_tot = -0.66 eV/atom
formation enthalpy at 0 K = -30 kJ/mol of formula units
calculated density = 10.4 Mg/m³

```
data_LiCd5Hg8
_chemical_formula_sum 'Li2 Cd10 Hg16'
_cell_length_a 8.939
_cell_length_b 8.939
_cell_length_c 8.702
_cell_angle_alpha 90.00
_cell_angle_beta 90.00
_cell_angle_gamma 90.00
_symmetry_space_group_name_H-M 'I -4'
_symmetry_Int_Tables_number 82
loop_
_symmetry_equiv_pos_as_xyz
'x,y,z'
'y,-x,-z'
'-x,-y,z'
'-y,x,-z'
'x+1/2,y+1/2,z+1/2'
'y+1/2,-x+1/2,-z+1/2'
'-x+1/2,-y+1/2,z+1/2'
'-y+1/2,x+1/2,-z+1/2'
loop_
_atom_site_label
_atom_site_type_symbol
_atom_site_fract_x
_atom_site_fract_y
_atom_site_fract_z
_atom_site_occupancy
Li1 Li 0.000 0.000 0.000 1
Cd1 Cd 0.000 0.500 0.250 1
Cd2 Cd 0.118 0.742 0.617 1
Hg1 Hg 0.070 0.836 0.284 1
Hg2 Hg 0.081 0.685 0.958 1
```


This record from Alexandria via LeMat-Bulk describes crystalline AgTe2MoI at its relaxed geometry. The functional is GGA-PBE.

crystal system = tetragonal
E_tot = -3.78 eV/atom
calculated density = 6.0 Mg/m³
offset from the most stable computed form = 0.000 eV/atom
ΔE_f (raw) = 0.5226 eV/atom

```
data_AgTe2MoI
_chemical_formula_sum 'Ag1 Te2 Mo1 I1'
_cell_length_a 5.198
_cell_length_b 5.198
_cell_length_c 5.962
_cell_angle_alpha 90.00
_cell_angle_beta 90.00
_cell_angle_gamma 90.00
_symmetry_space_group_name_H-M 'P 4/m m m'
_symmetry_Int_Tables_number 123
_symmetry_space_group_name_Hall '-P 4 2'
loop_
_atom_site_label
_atom_site_type_symbol
_atom_site_fract_x
_atom_site_fract_y
_atom_site_fract_z
_atom_site_occupancy
Ag1 Ag 0.000 0.000 0.000 1
Te1 Te 0.000 0.500 0.500 1
Mo1 Mo 0.500 0.500 0.500 1
I1 I 0.500 0.500 0.000 1
```


This record from Alexandria via LeMat-Bulk describes crystalline TlSi2As at its relaxed geometry. The functional is GGA-PBE.

crystal system = orthorhombic
E_tot = -3.92 eV/atom
calculated density = 6.4 Mg/m³
offset from the most stable computed form = 0.299 eV/atom
ΔE_f (raw) = 0.5475 eV/atom

```
data_TlSi2As
_chemical_formula_sum 'Tl2 Si4 As2'
_cell_length_a 3.528
_cell_length_b 5.573
_cell_length_c 8.856
_cell_angle_alpha 90.00
_cell_angle_beta 90.00
_cell_angle_gamma 90.00
_symmetry_space_group_name_H-M 'I m m m'
_symmetry_Int_Tables_number 71
_symmetry_space_group_name_Hall '-I 2 2'
loop_
_atom_site_label
_atom_site_type_symbol
_atom_site_fract_x
_atom_site_fract_y
_atom_site_fract_z
_atom_site_occupancy
Tl1 Tl 0.000 0.000 0.000 1
Si1 Si 0.000 0.500 0.206 1
As1 As 0.000 0.000 0.500 1
```